Record 1
## ErNiRh2 (PBE)

Data for an optimized crystal structure of ErNiRh2.

```
ErNiRh2
1.0
4.025 0.000 0.000
0.000 4.025 0.000
0.000 0.000 3.875
Er Ni Rh
1 1 2
Direct
0.000 0.000 0.000
0.500 0.500 0.000
0.000 0.500 0.500
0.500 0.000 0.500
```

Raw total energy = -26.9 eV per cell
ΔE_f = -0.46 eV/atom
Spin magnetization = 0.00 μB per formula unit
Symmetry = P4/mmm, No. 123


Record 2
## ErNi4Rh2 (PBE)

Data for an optimized crystal structure of ErNi4Rh2.

```
ErNi4Rh2
1.0
-3.102 3.102 2.538
3.102 -3.102 2.538
3.102 3.102 -2.538
Er Ni Rh
1 4 2
Direct
0.000 0.000 0.000
0.306 0.306 0.613
0.306 0.694 0.000
0.694 0.306 0.000
0.694 0.694 0.387
0.250 0.750 0.500
0.750 0.250 0.500
```

Raw total energy = -44.4 eV per cell
ΔE_f = -0.28 eV/atom
Spin magnetization = 0.00 μB per formula unit
Symmetry = I4/mmm, No. 139


Record 3
## Er3Ni2Rh7 (PBE)

Data for an optimized crystal structure of Er3Ni2Rh7.

```
Er3Ni2Rh7
1.0
2.618 1.512 8.459
-2.618 1.512 8.459
0.000 -3.023 8.459
Er Ni Rh
3 2 7
Direct
0.000 0.000 0.000
0.140 0.140 0.140
0.860 0.860 0.860
0.333 0.333 0.333
0.667 0.667 0.667
0.078 0.581 0.581
0.419 0.419 0.922
0.419 0.922 0.419
0.500 0.500 0.500
0.581 0.078 0.581
0.581 0.581 0.078
0.922 0.419 0.419
```

Raw total energy = -83.7 eV per cell
ΔE_f = -0.58 eV/atom
Spin magnetization = 0.00 μB per formula unit
Symmetry = R-3m, No. 166


Record 4
## Er2Ni9Rh (PBE)

Data for an optimized crystal structure of Er2Ni9Rh.

```
Er2Ni9Rh
1.0
2.442 1.410 7.915
-2.442 1.410 7.915
0.000 -2.819 7.915
Er Ni Rh
2 9 1
Direct
0.133 0.133 0.133
0.867 0.867 0.867
0.080 0.583 0.583
0.333 0.333 0.333
0.417 0.417 0.920
0.417 0.920 0.417
0.500 0.500 0.500
0.583 0.080 0.583
0.583 0.583 0.080
0.667 0.667 0.667
0.920 0.417 0.417
0.000 0.000 0.000
```

Raw total energy = -70.5 eV per cell
ΔE_f = -0.17 eV/atom
Spin magnetization = 4.00 μB per formula unit
Symmetry = R-3m, No. 166


Record 5
## ErNi2Rh2 (PBE)

Data for an optimized crystal structure of ErNi2Rh2.

```
ErNi2Rh2
1.0
-1.942 1.942 10.761
1.942 -1.942 10.761
1.942 1.942 -10.761
Er Ni Rh
2 4 4
Direct
0.126 0.126 0.000
0.874 0.874 0.000
0.000 0.500 0.500
0.322 0.322 0.000
0.500 0.000 0.500
0.678 0.678 0.000
0.250 0.750 0.500
0.429 0.429 0.000
0.571 0.571 0.000
0.750 0.250 0.500
```

Raw total energy = -63.9 eV per cell
ΔE_f = -0.23 eV/atom
Spin magnetization = 1.84 μB per formula unit
Symmetry = I4/mmm, No. 139


Record 6
## Er6NiRh5 (PBE)

Data for an optimized crystal structure of Er6NiRh5.

```
Er6NiRh5
1.0
4.774 0.000 0.000
0.000 6.840 0.000
-2.359 0.000 7.169
Er Ni Rh
6 1 5
Direct
0.000 0.249 0.000
0.000 0.751 0.000
0.334 0.249 0.668
0.334 0.751 0.668
0.666 0.249 0.332
0.666 0.751 0.332
0.500 0.000 0.000
0.166 0.000 0.333
0.167 0.500 0.334
0.500 0.500 0.000
0.833 0.500 0.666
0.834 0.000 0.667
```

Raw total energy = -80.1 eV per cell
ΔE_f = -0.85 eV/atom
Spin magnetization = 0.00 μB per formula unit
Symmetry = P2/m, No. 10


Record 7
## Er3NiRh8 (PBE)

Data for an optimized crystal structure of Er3NiRh8.

```
Er3NiRh8
1.0
2.629 1.518 8.633
-2.629 1.518 8.633
0.000 -3.036 8.633
Er Ni Rh
3 1 8
Direct
0.000 0.000 0.000
0.131 0.131 0.131
0.519 0.519 0.519
0.650 0.650 0.650
0.069 0.568 0.568
0.070 0.070 0.569
0.070 0.569 0.070
0.318 0.318 0.318
0.568 0.069 0.568
0.568 0.568 0.069
0.569 0.070 0.070
0.819 0.819 0.819
```

Raw total energy = -84.3 eV per cell
ΔE_f = -0.50 eV/atom
Spin magnetization = 0.92 μB per formula unit
Symmetry = R3m, No. 160


Record 8
## Er4NiRh (PBE)

Data for an optimized crystal structure of Er4NiRh.

```
Er4NiRh
1.0
-4.562 4.562 3.973
4.562 -4.562 3.973
4.562 4.562 -3.973
Er Ni Rh
8 2 2
Direct
0.194 0.494 0.700
0.244 0.044 0.800
0.244 0.444 0.200
0.297 0.000 0.297
0.703 0.000 0.703
0.750 0.547 0.797
0.750 0.953 0.203
0.794 0.494 0.300
0.745 0.245 0.500
0.995 0.995 0.000
0.248 0.748 0.500
0.498 0.498 0.000
```

Raw total energy = -67.4 eV per cell
ΔE_f = -0.39 eV/atom
Spin magnetization = 0.00 μB per formula unit
Symmetry = I4_1md, No. 109
Polymorph energy (0 for the lowest one) = 0.089 eV/atom


Record 9
## Er2Ni15Rh2 (PBE)

Data for an optimized crystal structure of Er2Ni15Rh2.

```
Er2Ni15Rh2
1.0
4.172 2.409 4.057
-4.172 2.409 4.057
0.000 -4.817 4.057
Er Ni Rh
2 15 2
Direct
0.158 0.158 0.158
0.842 0.842 0.842
0.000 0.500 0.500
0.153 0.153 0.659
0.153 0.659 0.153
0.202 0.500 0.798
0.202 0.798 0.500
0.341 0.847 0.847
0.500 0.000 0.500
0.500 0.202 0.798
0.500 0.500 0.000
0.500 0.798 0.202
0.659 0.153 0.153
0.798 0.202 0.500
0.798 0.500 0.202
0.847 0.341 0.847
0.847 0.847 0.341
0.396 0.396 0.396
0.604 0.604 0.604
```

Raw total energy = -114.5 eV per cell
ΔE_f = -0.21 eV/atom
Spin magnetization = 8.28 μB per formula unit
Symmetry = R-3m, No. 166


Record 10
## ErNiRh2 (PBE)

Data for an optimized crystal structure of ErNiRh2.

```
ErNiRh2
1.0
2.628 1.517 8.214
-2.628 1.517 8.214
0.000 -3.034 8.214
Er Ni Rh
3 3 6
Direct
0.000 0.000 0.000
0.141 0.141 0.141
0.859 0.859 0.859
0.333 0.333 0.333
0.500 0.500 0.500
0.667 0.667 0.667
0.081 0.583 0.583
0.417 0.417 0.919
0.417 0.919 0.417
0.583 0.081 0.583
0.583 0.583 0.081
0.919 0.417 0.417
```

Raw total energy = -81.9 eV per cell
ΔE_f = -0.56 eV/atom
Spin magnetization = 0.00 μB per formula unit
Symmetry = R-3m, No. 166


Record 11
## Er2Ni3Rh (PBE)

Data for an optimized crystal structure of Er2Ni3Rh.

```
Er2Ni3Rh
1.0
2.514 1.452 4.323
-2.514 1.452 4.323
0.000 -2.903 4.323
Er Ni Rh
2 3 1
Direct
0.122 0.122 0.122
0.878 0.878 0.878
0.000 0.500 0.500
0.500 0.000 0.500
0.500 0.500 0.000
0.500 0.500 0.500
```

Raw total energy = -37.3 eV per cell
ΔE_f = -0.57 eV/atom
Spin magnetization = 0.00 μB per formula unit
Symmetry = R-3m, No. 166


Record 12
## ErNi4Rh (PBE)

Data for an optimized crystal structure of ErNi4Rh.

```
ErNi4Rh
1.0
0.000 3.436 3.436
3.436 0.000 3.436
3.436 3.436 0.000
Er Ni Rh
1 4 1
Direct
0.000 0.000 0.000
0.128 0.624 0.624
0.624 0.128 0.624
0.624 0.624 0.128
0.624 0.624 0.624
0.250 0.250 0.250
```

Raw total energy = -36.8 eV per cell
ΔE_f = -0.29 eV/atom
Spin magnetization = 1.66 μB per formula unit
Symmetry = F-43m, No. 216
Polymorph energy (0 for the lowest one) = 0.000 eV/atom


- The highest raw total energy belongs to which entry?
  number 1


- Which value of raw total energy does entry 6 give?
  -80.1 eV per cell


Copy entry 7 word for word.
## Er3NiRh8 (PBE)

Data for an optimized crystal structure of Er3NiRh8.

```
Er3NiRh8
1.0
2.629 1.518 8.633
-2.629 1.518 8.633
0.000 -3.036 8.633
Er Ni Rh
3 1 8
Direct
0.000 0.000 0.000
0.131 0.131 0.131
0.519 0.519 0.519
0.650 0.650 0.650
0.069 0.568 0.568
0.070 0.070 0.569
0.070 0.569 0.070
0.318 0.318 0.318
0.568 0.069 0.568
0.568 0.568 0.069
0.569 0.070 0.070
0.819 0.819 0.819
```

Raw total energy = -84.3 eV per cell
ΔE_f = -0.50 eV/atom
Spin magnetization = 0.92 μB per formula unit
Symmetry = R3m, No. 160


- ΔE_f of number 6 (Er6NiRh5)?
  -0.85 eV/atom